This record from Alexandria describes a relaxed structure of CoP2CO. The functional is PBE with a Hubbard U.

Space-group type   P4/mmm
Excess energy over the best structure of this formula in the dataset   0 meV per atom
Total moment   2.0 μB per cell
Total DFT energy (no corrections)   -4.93 eV/atom

a b c (Å): 4.3362 4.3362 3.0062
angles (deg): 90.00 90.00 90.00
Last column: nearest neighbours and their distance in Å.
Fractional positions:
Co  0.0000  0.0000  0.0000  8 P 2.64
P  0.0000  0.5000  0.5000  2 C 2.17
P  0.5000  0.0000  0.5000  2 C 2.17
C  0.5000  0.5000  0.5000  2 O 1.50
O  0.5000  0.5000  0.0000  2 C 1.50